Density functional theory data (GGA-PBE) for an optimized crystal structure of LiSnTeI.

Lattice parameters (Å, degrees): 4.3929 4.3929 8.1226 74.31 74.31 60.00
With the nearest neighbours (Å) after each atom.
Sites, in units of the cell vectors:
Li: 0.0994 0.0994 0.7018  3 I 2.86
Sn: 0.5964 0.5964 0.2107  3 Te 3.03
Te: 0.8578 0.8578 0.4267  3 Sn 3.03, 3 Li 3.31
I: 0.3758 0.3758 0.8726  3 Li 2.86

Calculated values
Uncorrected formation energy   -666 meV per atom